Computed, not measured: a geometry-optimized Ac2Pd5Pb structure at the PBE level of DFT.

As for the space group: No. 107. The value obtained for the density of states at the Fermi level is 0.3755 states/eV/atom. The calculated total energy is -43.23 eV per cell.

a b c (Å): 6.3269 6.3269 6.3269
angles (deg): 94.07 117.68 117.68
Fractional positions:
Pd: 0.4205 0.7185 0.7185
Pd: 0.0000 0.7185 0.2980
Pd: 0.0000 0.2980 0.7185
Pd: 0.5795 0.2980 0.2980
Pd: 0.0000 0.2619 0.2619
Pb: 0.0000 0.9300 0.9300
Ac: 0.5000 0.2486 0.7486
Ac: 0.5000 0.7486 0.2486

Computed, not measured: a geometry-optimized AcPd2Pb6 structure at the PBE level of DFT.

As for the space group: No. 123. The value obtained for the density of states at the Fermi level is 0.6076 states/eV/atom. The calculated total energy is -38.72 eV per cell.

a b c (Å): 4.7357 4.7357 11.3497
angles (deg): 90.00 90.00 90.00
Fractional positions:
Pb: 0.5000 0.0000 0.2650
Pb: 0.0000 0.0000 0.5000
Pb: 0.5000 0.0000 0.7350
Pb: 0.0000 0.5000 0.7350
Pb: 0.5000 0.5000 0.5000
Pb: 0.0000 0.5000 0.2650
Pd: 0.5000 0.5000 0.8833
Pd: 0.5000 0.5000 0.1167
Ac: 0.0000 0.0000 0.0000

Computed, not measured: a geometry-optimized Ac2Pd12Pb7 structure at the PBE level of DFT.

As for the space group: No. 147. The value obtained for the density of states at the Fermi level is 0.5114 states/eV/atom. The calculated total energy is -104.32 eV per cell.

a b c (Å): 4.8615 10.5074 10.5075
angles (deg): 120.00 90.00 90.00
Fractional positions:
Pd: 0.1660 0.1194 0.8617
Pd: 0.1745 0.9283 0.5548
Pd: 0.8340 0.8617 0.7424
Pd: 0.1660 0.1383 0.2576
Pd: 0.8340 0.8806 0.1383
Pd: 0.1745 0.4452 0.3734
Pd: 0.1745 0.6266 0.0717
Pd: 0.8340 0.2576 0.1194
Pd: 0.8255 0.0717 0.4452
Pd: 0.1660 0.7424 0.8806
Pd: 0.8255 0.3734 0.9283
Pd: 0.8255 0.5548 0.6266
Pb: 0.6654 0.6148 0.9076
Pb: 0.3346 0.3852 0.0924
Pb: 0.3346 0.9076 0.2928
Pb: 0.6654 0.0924 0.7072
Pb: 0.3346 0.7072 0.6148
Pb: 0.6654 0.2928 0.3852
Pb: 0.5000 0.0000 0.0000
Ac: 0.8044 0.6667 0.3333
Ac: 0.1956 0.3333 0.6667

Computed, not measured: a geometry-optimized Ac5Pd2Pb2 structure at the PBE level of DFT.

As for the space group: No. 64. The value obtained for the density of states at the Fermi level is 0.8673 states/eV/atom. The calculated total energy is -86.80 eV per cell.

a b c (Å): 8.6067 8.7280 9.4206
angles (deg): 117.60 90.00 90.00
Fractional positions:
Pd: 0.1279 0.6248 0.0000
Pd: 0.8721 0.3752 0.0000
Pd: 0.3721 0.1248 0.0000
Pd: 0.6279 0.8752 0.0000
Ac: 0.1648 0.2047 0.7489
Ac: 0.5000 0.5000 0.0000
Ac: 0.1648 0.4557 0.2511
Ac: 0.0000 0.0000 0.0000
Ac: 0.8352 0.7953 0.2511
Ac: 0.8352 0.5443 0.7489
Ac: 0.3352 0.9557 0.2511
Ac: 0.6648 0.0443 0.7489
Ac: 0.6648 0.2953 0.2511
Ac: 0.3352 0.7047 0.7489
Pb: 0.0000 0.2095 0.4190
Pb: 0.5000 0.2905 0.5810
Pb: 0.0000 0.7905 0.5810
Pb: 0.5000 0.7095 0.4190

Computed, not measured: a geometry-optimized AcPd15Pb4 structure at the PBE level of DFT.

As for the space group: No. 123. The value obtained for the density of states at the Fermi level is 0.1413 states/eV/atom. The calculated total energy is -104.17 eV per cell.

a b c (Å): 4.1640 4.1640 20.6592
angles (deg): 90.00 90.00 90.00
Fractional positions:
Pd: 0.5000 0.5000 0.4019
Pd: 0.5000 0.0000 0.3038
Pd: 0.0000 0.5000 0.8918
Pd: 0.5000 0.5000 0.7938
Pd: 0.0000 0.5000 0.5000
Pd: 0.5000 0.5000 0.0000
Pd: 0.5000 0.5000 0.2062
Pd: 0.5000 0.0000 0.1082
Pd: 0.0000 0.5000 0.6962
Pd: 0.5000 0.0000 0.5000
Pd: 0.0000 0.5000 0.3038
Pd: 0.5000 0.0000 0.6962
Pd: 0.5000 0.5000 0.5981
Pd: 0.0000 0.5000 0.1082
Pd: 0.5000 0.0000 0.8918
Pb: 0.0000 0.0000 0.7938
Pb: 0.0000 0.0000 0.5978
Pb: 0.0000 0.0000 0.4022
Pb: 0.0000 0.0000 0.2062
Ac: 0.0000 0.0000 0.0000

Computed, not measured: a geometry-optimized AcPdPb2 structure at the PBE level of DFT.

As for the space group: No. 166. The value obtained for the density of states at the Fermi level is 0.3936 states/eV/atom. The energy relative to the lowest polymorph listed for this composition comes out at 0.079 eV per atom. The calculated total energy is -18.54 eV per cell.

a b c (Å): 4.7707 4.7707 6.4416
angles (deg): 68.27 68.27 60.00
Fractional positions:
Pd: 0.0000 0.0000 0.0000
Pb: 0.2797 0.2797 0.1609
Pb: 0.7203 0.7203 0.8391
Ac: 0.5000 0.5000 0.5000

Computed, not measured: a geometry-optimized AcPd4Pb4 structure at the PBE level of DFT.

As for the space group: No. 86. The value obtained for the density of states at the Fermi level is 0.4190 states/eV/atom. The energy relative to the lowest polymorph listed for this composition comes out at 0.006 eV per atom. The calculated total energy is -85.15 eV per cell.

a b c (Å): 5.5822 9.2076 9.2076
angles (deg): 90.00 90.00 90.00
Fractional positions:
Pb: 0.5935 0.8931 0.6594
Pb: 0.0935 0.1594 0.6069
Pb: 0.9065 0.3931 0.1594
Pb: 0.4065 0.6594 0.1069
Pb: 0.0935 0.8406 0.3931
Pb: 0.5935 0.1069 0.3406
Pb: 0.9065 0.6069 0.8406
Pb: 0.4065 0.3406 0.8931
Pd: 0.4055 0.3627 0.2078
Pd: 0.4055 0.6373 0.7922
Pd: 0.5945 0.2078 0.6373
Pd: 0.9055 0.7078 0.1373
Pd: 0.0945 0.8627 0.7078
Pd: 0.5945 0.7922 0.3627
Pd: 0.9055 0.2922 0.8627
Pd: 0.0945 0.1373 0.2922
Ac: 0.5000 0.5000 0.5000
Ac: 0.0000 0.0000 0.0000

Computed, not measured: a geometry-optimized Ac2PdPb structure at the PBE level of DFT.

As for the space group: No. 123. The value obtained for the density of states at the Fermi level is 0.8348 states/eV/atom. The calculated total energy is -19.49 eV per cell.

a b c (Å): 3.8788 3.8788 8.3995
angles (deg): 90.00 90.00 90.00
Fractional positions:
Pd: 0.5000 0.5000 0.0000
Pb: 0.5000 0.5000 0.5000
Ac: 0.0000 0.0000 0.2179
Ac: 0.0000 0.0000 0.7821